Record 1
# CrAgSeBr2 GGA-PBE optimized geometry
data_CrAgSeBr2
_chemical_formula_sum 'Cr1 Ag1 Se1 Br2'
_symmetry_space_group_name_H-M 'P 4/m m m'
_symmetry_Int_Tables_number 123
_symmetry_space_group_name_Hall '-P 4 2'
_cell_length_a 5.211
_cell_length_b 5.211
_cell_length_c 4.794
_cell_angle_alpha 90.00
_cell_angle_beta 90.00
_cell_angle_gamma 90.00
loop_
_atom_site_label
_atom_site_fract_x
_atom_site_fract_y
_atom_site_fract_z
Cr1 0.000 0.000 0.000
Ag1 0.500 0.500 0.500
Se1 0.000 0.000 0.500
Br1 0.000 0.500 0.000
# Calculated volume (Å³ per cell): 130

---

Record 2
# InTcOs2 GGA-PBE optimized geometry
data_InTcOs2
_chemical_formula_sum 'In3 Tc3 Os6'
_symmetry_space_group_name_H-M 'R -3 m'
_symmetry_Int_Tables_number 166
_symmetry_space_group_name_Hall '-R 3 2"'
_cell_length_a 2.8263
_cell_length_b 2.8263
_cell_length_c 27.3987
_cell_angle_alpha 90.00
_cell_angle_beta 90.00
_cell_angle_gamma 120.00
loop_
_atom_site_label
_atom_site_fract_x
_atom_site_fract_y
_atom_site_fract_z
In1 0.0000 0.0000 0.0000
Tc1 0.0000 0.0000 0.5000
Os1 0.0000 0.0000 0.2443
# Calculated volume (Å³ per cell): 190

---

Record 3
# BeCl2 GGA-PBE optimized geometry
data_BeCl2
_chemical_formula_sum 'Be4 Cl8'
_symmetry_space_group_name_H-M 'P 63/m m c'
_symmetry_Int_Tables_number 194
_symmetry_space_group_name_Hall '-P 6c 2c'
_cell_length_a 6.3769
_cell_length_b 6.3769
_cell_length_c 11.9764
_cell_angle_alpha 90.00
_cell_angle_beta 90.00
_cell_angle_gamma 120.00
loop_
_atom_site_label
_atom_site_fract_x
_atom_site_fract_y
_atom_site_fract_z
Be1 0.3333 0.6667 0.1672
Cl1 0.0000 0.0000 0.0000
Cl2 0.1757 0.3513 0.2500
# Calculated volume (Å³ per cell): 422

---

Record 4
# AcTb14Er GGA-PBE optimized geometry
data_AcTb14Er
_chemical_formula_sum 'Ac2 Tb28 Er2'
_symmetry_space_group_name_H-M 'A m m 2'
_symmetry_Int_Tables_number 38
_symmetry_space_group_name_Hall 'A 2 -2'
_cell_length_a 11.425
_cell_length_b 7.298
_cell_length_c 12.648
_cell_angle_alpha 90.00
_cell_angle_beta 90.00
_cell_angle_gamma 90.00
loop_
_atom_site_label
_atom_site_fract_x
_atom_site_fract_y
_atom_site_fract_z
Ac1 0.000 0.000 0.000
Tb1 0.000 0.248 0.750
Tb2 0.249 0.000 0.334
Tb3 0.254 0.248 0.585
Tb4 0.255 0.000 0.833
Tb5 0.500 0.000 0.001
Tb6 0.500 0.000 0.501
Tb7 0.500 0.250 0.251
Er1 0.000 0.000 0.502
# Calculated volume (Å³ per cell): 1055

---

Record 5
# PrYAgAu GGA-PBE optimized geometry
data_PrYAgAu
_chemical_formula_sum 'Pr1 Y1 Ag1 Au1'
_symmetry_space_group_name_H-M 'P 4 m m'
_symmetry_Int_Tables_number 99
_symmetry_space_group_name_Hall 'P 4 -2'
_cell_length_a 3.658
_cell_length_b 3.658
_cell_length_c 7.517
_cell_angle_alpha 90.00
_cell_angle_beta 90.00
_cell_angle_gamma 90.00
loop_
_atom_site_label
_atom_site_fract_x
_atom_site_fract_y
_atom_site_fract_z
Pr1 0.000 0.000 0.000
Y1 0.000 0.000 0.489
Ag1 0.500 0.500 0.724
Au1 0.500 0.500 0.268
# Calculated volume (Å³ per cell): 101

---

Record 6
# TmPdPt GGA-PBE optimized geometry
data_TmPdPt
_chemical_formula_sum 'Tm1 Pd1 Pt1'
_symmetry_space_group_name_H-M 'P -6 m 2'
_symmetry_Int_Tables_number 187
_symmetry_space_group_name_Hall 'P -6 2'
_cell_length_a 4.4688
_cell_length_b 4.4688
_cell_length_c 3.4628
_cell_angle_alpha 90.00
_cell_angle_beta 90.00
_cell_angle_gamma 120.00
loop_
_atom_site_label
_atom_site_fract_x
_atom_site_fract_y
_atom_site_fract_z
Tm1 0.0000 0.0000 0.0000
Pd1 0.3333 0.6667 0.5000
Pt1 0.6667 0.3333 0.5000
# Calculated volume (Å³ per cell): 60

---

Record 7
# Ge2PF GGA-PBE optimized geometry
data_Ge2PF
_chemical_formula_sum 'Ge8 P4 F4'
_symmetry_space_group_name_H-M 'F m -3 m'
_symmetry_Int_Tables_number 225
_symmetry_space_group_name_Hall '-F 4 2 3'
_cell_length_a 6.306
_cell_length_b 6.306
_cell_length_c 6.306
_cell_angle_alpha 90.00
_cell_angle_beta 90.00
_cell_angle_gamma 90.00
loop_
_atom_site_label
_atom_site_fract_x
_atom_site_fract_y
_atom_site_fract_z
Ge1 0.250 0.250 0.250
P1 0.000 0.000 0.000
F1 0.000 0.000 0.500
# Calculated volume (Å³ per cell): 251

---

Record 8
# Ga2RuPb GGA-PBE optimized geometry
data_Ga2RuPb
_chemical_formula_sum 'Ga8 Ru4 Pb4'
_symmetry_space_group_name_H-M 'I -4 2 d'
_symmetry_Int_Tables_number 122
_symmetry_space_group_name_Hall 'I -4 2bw'
_cell_length_a 4.286
_cell_length_b 4.286
_cell_length_c 17.835
_cell_angle_alpha 90.00
_cell_angle_beta 90.00
_cell_angle_gamma 90.00
loop_
_atom_site_label
_atom_site_fract_x
_atom_site_fract_y
_atom_site_fract_z
Ga1 0.169 0.250 0.125
Ru1 0.000 0.000 0.000
Pb1 0.000 0.000 0.500
# Calculated volume (Å³ per cell): 328

---

Record 9
# Nd7In6Ni5Ge3 GGA-PBE optimized geometry
data_Nd7In6Ni5Ge3
_chemical_formula_sum 'Nd7 In6 Ni5 Ge3'
_symmetry_space_group_name_H-M 'P -6'
_symmetry_Int_Tables_number 174
_symmetry_space_group_name_Hall 'P -6'
_cell_length_a 11.4608
_cell_length_b 11.4608
_cell_length_c 4.1536
_cell_angle_alpha 90.00
_cell_angle_beta 90.00
_cell_angle_gamma 120.00
loop_
_atom_site_label
_atom_site_fract_x
_atom_site_fract_y
_atom_site_fract_z
Nd1 0.0000 0.0000 0.0000
Nd2 0.0755 0.6974 0.0000
Nd3 0.3783 0.0855 0.0000
In1 0.1620 0.5188 0.5000
In2 0.5147 0.3504 0.5000
Ni1 0.2468 0.1650 0.5000
Ni2 0.3333 0.6667 0.0000
Ni3 0.6667 0.3333 0.0000
Ge1 0.0767 0.2305 0.5000
# Calculated volume (Å³ per cell): 472

---

Record 10
# ScCuP2 GGA-PBE optimized geometry
data_ScCuP2
_chemical_formula_sum 'Sc4 Cu4 P8'
_symmetry_space_group_name_H-M 'F -4 3 m'
_symmetry_Int_Tables_number 216
_symmetry_space_group_name_Hall 'F -4 2 3'
_cell_length_a 6.274
_cell_length_b 6.274
_cell_length_c 6.274
_cell_angle_alpha 90.00
_cell_angle_beta 90.00
_cell_angle_gamma 90.00
loop_
_atom_site_label
_atom_site_fract_x
_atom_site_fract_y
_atom_site_fract_z
Sc1 0.000 0.000 0.000
Cu1 0.250 0.250 0.750
P1 0.000 0.000 0.500
P2 0.250 0.250 0.250
# Calculated volume (Å³ per cell): 247

---

Record 11
# NaTl2InPd GGA-PBE optimized geometry
data_NaTl2InPd
_chemical_formula_sum 'Na1 Tl2 In1 Pd1'
_symmetry_space_group_name_H-M 'P 4/m m m'
_symmetry_Int_Tables_number 123
_symmetry_space_group_name_Hall '-P 4 2'
_cell_length_a 5.394
_cell_length_b 5.394
_cell_length_c 5.267
_cell_angle_alpha 90.00
_cell_angle_beta 90.00
_cell_angle_gamma 90.00
loop_
_atom_site_label
_atom_site_fract_x
_atom_site_fract_y
_atom_site_fract_z
Na1 0.000 0.000 0.000
Tl1 0.000 0.500 0.500
In1 0.500 0.500 0.000
Pd1 0.500 0.500 0.500
# Calculated volume (Å³ per cell): 153

---

Record 12
# Bi2Ir GGA-PBE optimized geometry
data_Bi2Ir
_chemical_formula_sum 'Bi8 Ir4'
_symmetry_space_group_name_H-M 'P 1 21/c 1'
_symmetry_Int_Tables_number 14
_symmetry_space_group_name_Hall '-P 2ybc'
_cell_length_a 7.000
_cell_length_b 6.898
_cell_length_c 7.091
_cell_angle_alpha 90.00
_cell_angle_beta 116.00
_cell_angle_gamma 90.00
loop_
_atom_site_label
_atom_site_fract_x
_atom_site_fract_y
_atom_site_fract_z
Bi1 0.145 0.139 0.380
Bi2 0.347 0.640 0.676
Ir1 0.273 0.001 0.792
# Calculated volume (Å³ per cell): 308

---

Record 13
# Ba2SiPb2 GGA-PBE optimized geometry
data_Ba2SiPb2
_chemical_formula_sum 'Ba4 Si2 Pb4'
_symmetry_space_group_name_H-M 'P 4/m b m'
_symmetry_Int_Tables_number 127
_symmetry_space_group_name_Hall '-P 4 2ab'
_cell_length_a 8.031
_cell_length_b 8.031
_cell_length_c 5.505
_cell_angle_alpha 90.00
_cell_angle_beta 90.00
_cell_angle_gamma 90.00
loop_
_atom_site_label
_atom_site_fract_x
_atom_site_fract_y
_atom_site_fract_z
Ba1 0.170 0.330 0.000
Si1 0.000 0.000 0.500
Pb1 0.141 0.641 0.500
# Calculated volume (Å³ per cell): 355

---

Record 14
# Na2Tl7Pb3 GGA-PBE optimized geometry
data_Na2Tl7Pb3
_chemical_formula_sum 'Na2 Tl7 Pb3'
_symmetry_space_group_name_H-M 'P 1 2/m 1'
_symmetry_Int_Tables_number 10
_symmetry_space_group_name_Hall '-P 2y'
_cell_length_a 6.363
_cell_length_b 3.457
_cell_length_c 16.697
_cell_angle_alpha 90.00
_cell_angle_beta 96.48
_cell_angle_gamma 90.00
loop_
_atom_site_label
_atom_site_fract_x
_atom_site_fract_y
_atom_site_fract_z
Na1 0.059 0.000 0.174
Tl1 0.000 0.500 0.500
Tl2 0.219 0.000 0.669
Tl3 0.250 0.000 0.999
Tl4 0.292 0.500 0.332
Pb1 0.445 0.500 0.839
Pb2 0.500 0.000 0.500
# Calculated volume (Å³ per cell): 365

---

Record 15
# RbLiLa2Te4 GGA-PBE optimized geometry
data_RbLiLa2Te4
_chemical_formula_sum 'Rb4 Li4 La8 Te16'
_symmetry_space_group_name_H-M 'C m c m'
_symmetry_Int_Tables_number 63
_symmetry_space_group_name_Hall '-C 2c 2'
_cell_length_a 4.698
_cell_length_b 15.692
_cell_length_c 16.189
_cell_angle_alpha 90.00
_cell_angle_beta 90.00
_cell_angle_gamma 90.00
loop_
_atom_site_label
_atom_site_fract_x
_atom_site_fract_y
_atom_site_fract_z
Rb1 0.000 0.110 0.250
Li1 0.000 0.162 0.750
La1 0.000 0.366 0.062
Te1 0.000 0.000 0.000
Te2 0.000 0.264 0.611
Te3 0.000 0.430 0.250
# Calculated volume (Å³ per cell): 1193

---

Record 16
# TlRu8 GGA-PBE optimized geometry
data_TlRu8
_chemical_formula_sum 'Tl2 Ru16'
_symmetry_space_group_name_H-M 'I 4/m m m'
_symmetry_Int_Tables_number 139
_symmetry_space_group_name_Hall '-I 4 2'
_cell_length_a 8.295
_cell_length_b 8.295
_cell_length_c 3.880
_cell_angle_alpha 90.00
_cell_angle_beta 90.00
_cell_angle_gamma 90.00
loop_
_atom_site_label
_atom_site_fract_x
_atom_site_fract_y
_atom_site_fract_z
Tl1 0.000 0.000 0.000
Ru1 0.000 0.345 0.000
Ru2 0.178 0.178 0.500
# Calculated volume (Å³ per cell): 267

---

Record 17
# SmBiO4 GGA-PBE optimized geometry
data_SmBiO4
_chemical_formula_sum 'Sm4 Bi4 O16'
_symmetry_space_group_name_H-M 'P 1 21/c 1'
_symmetry_Int_Tables_number 14
_symmetry_space_group_name_Hall '-P 2ybc'
_cell_length_a 7.914
_cell_length_b 5.602
_cell_length_c 7.931
_cell_angle_alpha 90.00
_cell_angle_beta 97.01
_cell_angle_gamma 90.00
loop_
_atom_site_label
_atom_site_fract_x
_atom_site_fract_y
_atom_site_fract_z
Sm1 0.135 0.231 0.389
Bi1 0.339 0.728 0.182
O1 0.111 0.507 0.166
O2 0.159 0.000 0.116
O3 0.327 0.601 0.927
O4 0.420 0.101 0.818
# Calculated volume (Å³ per cell): 349

---

Record 18
# Sc2InSb GGA-PBE optimized geometry
data_Sc2InSb
_chemical_formula_sum 'Sc2 In1 Sb1'
_symmetry_space_group_name_H-M 'P 4 m m'
_symmetry_Int_Tables_number 99
_symmetry_space_group_name_Hall 'P 4 -2'
_cell_length_a 3.228
_cell_length_b 3.228
_cell_length_c 9.736
_cell_angle_alpha 90.00
_cell_angle_beta 90.00
_cell_angle_gamma 90.00
loop_
_atom_site_label
_atom_site_fract_x
_atom_site_fract_y
_atom_site_fract_z
Sc1 0.000 0.000 0.000
Sc2 0.500 0.500 0.242
In1 0.000 0.000 0.458
Sb1 0.500 0.500 0.775
# Calculated volume (Å³ per cell): 101

---

Record 19
# SrAc4Sn3 GGA-PBE optimized geometry
data_SrAc4Sn3
_chemical_formula_sum 'Sr2 Ac8 Sn6'
_symmetry_space_group_name_H-M 'I m m m'
_symmetry_Int_Tables_number 71
_symmetry_space_group_name_Hall '-I 2 2'
_cell_length_a 3.860
_cell_length_b 9.623
_cell_length_c 16.262
_cell_angle_alpha 90.00
_cell_angle_beta 90.00
_cell_angle_gamma 90.00
loop_
_atom_site_label
_atom_site_fract_x
_atom_site_fract_y
_atom_site_fract_z
Sr1 0.000 0.000 0.000
Ac1 0.000 0.300 0.140
Sn1 0.000 0.000 0.500
Sn2 0.000 0.500 0.317
# Calculated volume (Å³ per cell): 604

---

Record 20
# BaPb4 GGA-PBE optimized geometry
data_BaPb4
_chemical_formula_sum 'Ba8 Pb32'
_symmetry_space_group_name_H-M 'I -4 3 m'
_symmetry_Int_Tables_number 217
_symmetry_space_group_name_Hall 'I -4 2 3'
_cell_length_a 11.376
_cell_length_b 11.376
_cell_length_c 11.376
_cell_angle_alpha 90.00
_cell_angle_beta 90.00
_cell_angle_gamma 90.00
loop_
_atom_site_label
_atom_site_fract_x
_atom_site_fract_y
_atom_site_fract_z
Ba1 0.219 0.219 0.219
Pb1 0.000 0.000 0.348
Pb2 0.000 0.250 0.500
Pb3 0.102 0.102 0.898
# Calculated volume (Å³ per cell): 1472

---

Record 21
# BaGa2Se GGA-PBE optimized geometry
data_BaGa2Se
_chemical_formula_sum 'Ba4 Ga8 Se4'
_symmetry_space_group_name_H-M 'F m -3 m'
_symmetry_Int_Tables_number 225
_symmetry_space_group_name_Hall '-F 4 2 3'
_cell_length_a 7.615
_cell_length_b 7.615
_cell_length_c 7.615
_cell_angle_alpha 90.00
_cell_angle_beta 90.00
_cell_angle_gamma 90.00
loop_
_atom_site_label
_atom_site_fract_x
_atom_site_fract_y
_atom_site_fract_z
Ba1 0.000 0.000 0.000
Ga1 0.250 0.250 0.250
Se1 0.000 0.000 0.500
# Calculated volume (Å³ per cell): 442

---

Record 22
# Ti3AlH GGA-PBE optimized geometry
data_Ti3AlH
_chemical_formula_sum 'Ti24 Al8 H8'
_symmetry_space_group_name_H-M 'C 1 2/c 1'
_symmetry_Int_Tables_number 15
_symmetry_space_group_name_Hall '-C 2yc'
_cell_length_a 9.413
_cell_length_b 11.701
_cell_length_c 4.997
_cell_angle_alpha 90.00
_cell_angle_beta 91.66
_cell_angle_gamma 90.00
loop_
_atom_site_label
_atom_site_fract_x
_atom_site_fract_y
_atom_site_fract_z
Ti1 0.127 0.186 0.054
Ti2 0.127 0.307 0.575
Ti3 0.132 0.436 0.086
Al1 0.127 0.061 0.559
H1 0.000 0.309 0.250
H2 0.000 0.439 0.750
# Calculated volume (Å³ per cell): 550

---

The evaluated spin magnetization for the records listed, in turn: 3.0, 0.0, 0.1, 0.0, 0.0, 0.0, 0.0, 0.0, 0.0, 0.0, 0.0, 0.0, 0.0, 0.0, 0.0, 0.0, 0.0, 0.0, 0.0, 0.0, 0.0, 0.0 μB per formula unit.
The evaluated uncorrected energy for the records listed, in turn: -19.6, -102.7, -35.9, -146.2, -19.6, -18.3, -72.2, -71.6, -105.2, -86.1, -14.3, -66.8, -35.7, -30.7, -147.3, -149.0, -161.2, -20.3, -66.6, -143.1, -50.1, -255.7 eV per cell.